## Sc2MoOF (GGA+U)

Data for crystalline Sc2MoOF at its relaxed geometry.

Structure (POSCAR):
```
Sc2MoOF
1.0
5.031 0.000 0.000
0.000 4.079 0.000
0.000 0.000 5.031
Sc Mo O F
2 1 1 1
Cartesian
0.000 0.000 2.516
2.516 0.000 0.000
0.000 0.000 0.000
2.516 2.039 2.516
0.000 2.039 0.000
```

E, eV/atom: -5.205
SG: P4/mmm, No. 123